Material: PrGaCu3
Method: DFT, PBE-GGA
State: relaxed

a = 6.5636 Å, b = 6.5636 Å, c = 6.5636 Å
α = 135.05°, β = 96.22°, γ = 100.60°
Last column: nearest neighbours and their distance in Å.
Atoms (fractional coordinates):
Pr: 0.2939 0.0439 0.2500  11 Cu 3.09-3.45, 4 Ga 3.35
Pr: 0.7061 0.9561 0.7500  11 Cu 3.09-3.45, 4 Ga 3.35
Ga: 0.0000 0.5000 0.5000  6 Cu 2.45-2.62
Ga: 0.5000 0.5000 0.0000  6 Cu 2.45-2.62
Cu: 0.0791 0.3291 0.7500  4 Cu 2.50, 2 Ga 2.62
Cu: 0.2347 0.0000 0.7347  2 Ga 2.45, 4 Cu 2.50-2.51
Cu: 0.2347 0.5000 0.2347  2 Ga 2.45, 4 Cu 2.50-2.51
Cu: 0.7653 0.0000 0.2653  2 Ga 2.45, 4 Cu 2.50-2.51
Cu: 0.7653 0.5000 0.7653  2 Ga 2.45, 4 Cu 2.50-2.51
Cu: 0.9209 0.6709 0.2500  4 Cu 2.50, 2 Ga 2.62

The calculation puts the density of states at the Fermi level at 5.54 states/eV/cell. The crystal system is orthorhombic. Its formation energy is -0.214 eV per atom.

Material: PrGa11Cu
Method: DFT, PBE-GGA
State: relaxed

a = 6.6674 Å, b = 6.6674 Å, c = 8.0181 Å
α = 97.35°, β = 97.35°, γ = 133.28°
Last column: nearest neighbours and their distance in Å.
Atoms (fractional coordinates):
Pr: 0.0000 0.0000 0.0000  16 Ga 3.33-3.49
Ga: 0.0000 0.0000 0.5000  2 Cu 2.64, 8 Ga 2.78-2.80
Ga: 0.0000 0.5000 0.0000  6 Ga 2.64-2.78
Ga: 0.0256 0.3766 0.3620  1 Cu 2.69, 4 Ga 2.78-2.84
Ga: 0.2786 0.4966 0.7719  6 Ga 2.67-2.84, 1 Cu 2.78
Ga: 0.3766 0.0256 0.3620  1 Cu 2.69, 4 Ga 2.78-2.84
Ga: 0.4966 0.2786 0.7719  6 Ga 2.67-2.84, 1 Cu 2.78
Ga: 0.5000 0.0000 0.0000  6 Ga 2.64-2.78
Ga: 0.5034 0.7214 0.2281  6 Ga 2.67-2.84, 1 Cu 2.78
Ga: 0.6234 0.9744 0.6380  1 Cu 2.69, 4 Ga 2.78-2.84
Ga: 0.7214 0.5034 0.2281  6 Ga 2.67-2.84, 1 Cu 2.78
Ga: 0.9744 0.6234 0.6380  1 Cu 2.69, 4 Ga 2.78-2.84
Cu: 0.5000 0.5000 0.5000  10 Ga 2.64-2.78

The calculation puts the density of states at the Fermi level at 4.64 states/eV/cell. The crystal system is monoclinic. Its formation energy is -0.131 eV per atom.

Material: PrGa4Cu2
Method: DFT, PBE-GGA
State: relaxed

a = 17.1123 Å, b = 4.2279 Å, c = 6.8653 Å
α = 90.00°, β = 90.00°, γ = 90.00°
Last column: nearest neighbours and their distance in Å.
Atoms (fractional coordinates):
Pr: 0.1222 0.2500 0.0068  9 Ga 3.11-3.45, 5 Cu 3.27-3.48
Pr: 0.3778 0.7500 0.5068  9 Ga 3.11-3.45, 5 Cu 3.27-3.48
Pr: 0.6222 0.2500 0.4932  9 Ga 3.11-3.45, 5 Cu 3.27-3.48
Pr: 0.8778 0.7500 0.9932  9 Ga 3.11-3.45, 5 Cu 3.27-3.48
Ga: 0.0360 0.7500 0.7521  2 Cu 2.50, 2 Ga 2.75-2.76
Ga: 0.0885 0.2500 0.5023  4 Cu 2.45-2.66
Ga: 0.1867 0.7500 0.3217  4 Cu 2.49-2.64, 1 Ga 2.67
Ga: 0.1958 0.7500 0.7100  3 Cu 2.48-2.55, 2 Ga 2.67-2.75
Ga: 0.3042 0.2500 0.2100  3 Cu 2.48-2.55, 2 Ga 2.67-2.75
Ga: 0.3133 0.2500 0.8217  4 Cu 2.49-2.64, 1 Ga 2.67
Ga: 0.4115 0.7500 0.0023  4 Cu 2.45-2.66
Ga: 0.4640 0.2500 0.2521  2 Cu 2.50, 2 Ga 2.75-2.76
Ga: 0.5360 0.7500 0.7479  2 Cu 2.50, 2 Ga 2.75-2.76
Ga: 0.5885 0.2500 0.9977  4 Cu 2.45-2.66
Ga: 0.6867 0.7500 0.1783  4 Cu 2.49-2.64, 1 Ga 2.67
Ga: 0.6958 0.7500 0.7900  3 Cu 2.48-2.55, 2 Ga 2.67-2.75
Ga: 0.8042 0.2500 0.2900  3 Cu 2.48-2.55, 2 Ga 2.67-2.75
Ga: 0.8133 0.2500 0.6783  4 Cu 2.49-2.64, 1 Ga 2.67
Ga: 0.9115 0.7500 0.4977  4 Cu 2.45-2.66
Ga: 0.9640 0.2500 0.2479  2 Cu 2.50, 2 Ga 2.75-2.76
Cu: 0.0385 0.7500 0.3038  6 Ga 2.50-2.66
Cu: 0.2313 0.2500 0.5228  7 Ga 2.45-2.64
Cu: 0.2687 0.7500 0.0228  7 Ga 2.45-2.64
Cu: 0.4615 0.2500 0.8038  6 Ga 2.50-2.66
Cu: 0.5385 0.7500 0.1962  6 Ga 2.50-2.66
Cu: 0.7313 0.2500 0.9772  7 Ga 2.45-2.64
Cu: 0.7687 0.7500 0.4772  7 Ga 2.45-2.64
Cu: 0.9615 0.2500 0.6962  6 Ga 2.50-2.66

The calculation puts the density of states at the Fermi level at 9.37 states/eV/cell. The crystal system is orthorhombic. Its formation energy is -0.374 eV per atom.

Material: Pr2GaCu3
Method: DFT, PBE-GGA
State: relaxed

a = 3.7405 Å, b = 4.4049 Å, c = 7.6185 Å
α = 90.00°, β = 90.00°, γ = 90.00°
Last column: nearest neighbours and their distance in Å.
Atoms (fractional coordinates):
Pr: 0.0000 0.0000 0.0000  8 Cu 3.12-3.20, 4 Ga 3.20
Pr: 0.0000 0.5000 0.4819  10 Cu 3.11-3.19, 2 Ga 3.18
Ga: 0.5000 0.5000 0.8192  3 Cu 2.52-2.56
Cu: 0.5000 0.0000 0.3273  3 Cu 2.53-2.56
Cu: 0.5000 0.0000 0.6597  2 Ga 2.52, 1 Cu 2.53
Cu: 0.5000 0.5000 0.1554  1 Ga 2.56, 2 Cu 2.56

The calculation puts the density of states at the Fermi level at 4.76 states/eV/cell. The crystal system is orthorhombic. Its formation energy is -0.307 eV per atom.